Below is Na3Cr5Cl12 after structural relaxation, with properties calculated at the GGA-PBE level.

Space group ... Ia-3d
Density of states at the Fermi level ... 24.74 states/eV per cell
Energy ... -95.96 eV/f.u.
ΔE_f (raw) ... -1086 meV/atom

Cell lengths 13.672, 13.672, 13.672 Å; angles 109.47, 109.47, 109.47 degrees
Atoms (fractional coordinates):
Na (0.125, 0.250, 0.375)
Na (0.125, 0.375, 0.750)
Na (0.250, 0.375, 0.125)
Na (0.250, 0.875, 0.625)
Na (0.375, 0.125, 0.250)
Na (0.375, 0.750, 0.125)
Na (0.625, 0.250, 0.875)
Na (0.625, 0.875, 0.750)
Na (0.750, 0.125, 0.375)
Na (0.750, 0.625, 0.875)
Na (0.875, 0.625, 0.250)
Na (0.875, 0.750, 0.625)
Cr (0.000, 0.000, 0.000)
Cr (0.000, 0.000, 0.500)
Cr (0.000, 0.500, 0.000)
Cr (0.000, 0.500, 0.500)
Cr (0.125, 0.750, 0.875)
Cr (0.125, 0.875, 0.250)
Cr (0.250, 0.125, 0.875)
Cr (0.250, 0.625, 0.375)
Cr (0.375, 0.250, 0.625)
Cr (0.375, 0.625, 0.750)
Cr (0.500, 0.000, 0.000)
Cr (0.500, 0.000, 0.500)
Cr (0.500, 0.500, 0.000)
Cr (0.500, 0.500, 0.500)
Cr (0.625, 0.375, 0.250)
Cr (0.625, 0.750, 0.375)
Cr (0.750, 0.375, 0.625)
Cr (0.750, 0.875, 0.125)
Cr (0.875, 0.125, 0.750)
Cr (0.875, 0.250, 0.125)
Cl (0.024, 0.197, 0.122)
Cl (0.024, 0.327, 0.902)
Cl (0.076, 0.697, 0.673)
Cl (0.076, 0.878, 0.402)
Cl (0.098, 0.622, 0.424)
Cl (0.098, 0.976, 0.673)
Cl (0.122, 0.024, 0.197)
Cl (0.122, 0.598, 0.924)
Cl (0.173, 0.197, 0.576)
Cl (0.173, 0.476, 0.598)
Cl (0.197, 0.122, 0.024)
Cl (0.197, 0.576, 0.173)
Cl (0.303, 0.327, 0.924)
Cl (0.303, 0.476, 0.378)
Cl (0.327, 0.902, 0.024)
Cl (0.327, 0.924, 0.303)
Cl (0.378, 0.303, 0.476)
Cl (0.378, 0.576, 0.902)
Cl (0.402, 0.076, 0.878)
Cl (0.402, 0.827, 0.524)
Cl (0.424, 0.098, 0.622)
Cl (0.424, 0.827, 0.803)
Cl (0.476, 0.378, 0.303)
Cl (0.476, 0.598, 0.173)
Cl (0.524, 0.402, 0.827)
Cl (0.524, 0.622, 0.697)
Cl (0.576, 0.173, 0.197)
Cl (0.576, 0.902, 0.378)
Cl (0.598, 0.173, 0.476)
Cl (0.598, 0.924, 0.122)
Cl (0.622, 0.424, 0.098)
Cl (0.622, 0.697, 0.524)
Cl (0.673, 0.076, 0.697)
Cl (0.673, 0.098, 0.976)
Cl (0.697, 0.524, 0.622)
Cl (0.697, 0.673, 0.076)
Cl (0.803, 0.424, 0.827)
Cl (0.803, 0.878, 0.976)
Cl (0.827, 0.524, 0.402)
Cl (0.827, 0.803, 0.424)
Cl (0.878, 0.402, 0.076)
Cl (0.878, 0.976, 0.803)
Cl (0.902, 0.024, 0.327)
Cl (0.902, 0.378, 0.576)
Cl (0.924, 0.122, 0.598)
Cl (0.924, 0.303, 0.327)
Cl (0.976, 0.673, 0.098)
Cl (0.976, 0.803, 0.878)